Record 1
Computed, not measured: an optimized crystal structure of Na2MgAl at the PBE level of DFT.

Properties
Formation energy ... 0.24 eV per atom
Magnetization ... 0.00 μB/atom
Excess energy over the best structure of this formula in the dataset ... 0.000 eV/atom
E_tot ... -1.7518 eV/atom

Unit cell a=7.4301 b=7.4301 c=7.4301 alpha=90.00 beta=90.00 gamma=90.00
Closest atoms and distances in Å follow each position.
Space group Fm-3m (No. 225)
Symmetry-distinct sites (fractional):
Na: 0.2500 0.2500 0.2500 x8  4 Mg 3.22, 4 Al 3.22
Mg: 0.0000 0.0000 0.0000 x4  8 Na 3.22
Al: 0.0000 0.0000 0.5000 x4  8 Na 3.22



Record 2
Computed, not measured: an optimized crystal structure of NaMg3Al at the PBE level of DFT.

Properties
Formation energy ... 0.29 eV per atom
Magnetization ... 0.00 μB/atom
Excess energy over the best structure of this formula in the dataset ... 0.000 eV/atom
E_tot ... -1.6793 eV/atom

Unit cell a=5.2995 b=5.2995 c=5.2995 alpha=90.00 beta=90.00 gamma=90.00
Closest atoms and distances in Å follow each position.
Space group Pm-3m (No. 221)
Symmetry-distinct sites (fractional):
Na: 0.0000 0.0000 0.0000 x1  12 Mg 3.75
Mg: 0.0000 0.5000 0.5000 x3  2 Al 2.65
Al: 0.5000 0.5000 0.5000 x1  6 Mg 2.65



Record 3
Computed, not measured: an optimized crystal structure of NaMg2Al at the PBE level of DFT.

Properties
Formation energy ... 0.12 eV per atom
Magnetization ... 0.00 μB/atom
E_tot ... -1.9397 eV/atom

Unit cell a=7.1117 b=7.1117 c=7.1117 alpha=90.00 beta=90.00 gamma=90.00
Closest atoms and distances in Å follow each position.
Space group F-43m (No. 216)
Symmetry-distinct sites (fractional):
Na: 0.0000 0.0000 0.0000 x4  4 Al 3.08, 4 Mg 3.08
Mg: 0.0000 0.0000 0.5000 x4  4 Mg 3.08, 4 Al 3.08
Mg: 0.2500 0.2500 0.7500 x4  4 Na 3.08, 4 Mg 3.08
Al: 0.2500 0.2500 0.2500 x4  4 Na 3.08, 4 Mg 3.08